Entry from Alexandria: a geometry-optimized TlGa2Br3 structure (PBE).

Cell lengths 6.7080, 4.5172, 13.0254 Å; angles 90.00, 93.29, 90.00 degrees
Positions (direct):
Tl (0.0611, 0.2500, 0.2101)
Tl (0.9389, 0.7500, 0.7899)
Ga (0.3380, 0.2500, 0.8827)
Ga (0.4854, 0.7500, 0.4263)
Ga (0.5146, 0.2500, 0.5737)
Ga (0.6620, 0.7500, 0.1173)
Br (0.1009, 0.7500, 0.3814)
Br (0.2718, 0.7500, 0.0416)
Br (0.4458, 0.7500, 0.7205)
Br (0.5542, 0.2500, 0.2795)
Br (0.7282, 0.2500, 0.9584)
Br (0.8991, 0.2500, 0.6186)

Computed properties:
Space-group type ... No. 11
Raw formation energy ... -0.623 eV per atom
Relative energy among the computed polymorphs ... 0.006 eV/atom
N(E_F) ... 0.00 states/eV/f.u.
Magnetization ... 0.0 Bohr magnetons per cell